# 1
Here is a relaxed structure of MgIn2IrI from Alexandria. Energies are from GGA-PBE.

The uncorrected energy comes out at -18.63 eV for the cell shown.

It has space group P4/mmm (No. 123), with a = 5.247 Å, b = 5.247 Å, c = 5.193 Å, α = 90.00°, β = 90.00° and γ = 90.00°. The distinct sites, in fractional coordinates, are Mg at (0.000, 0.000, 0.000), In at (0.000, 0.500, 0.500), Ir at (0.000, 0.000, 0.500) and I at (0.500, 0.500, 0.000).

# 2
Here is a relaxed structure of InIrIN2 from Alexandria. Energies are from GGA-PBE.

The uncorrected energy comes out at -19.73 eV for the cell shown. The excess energy over the best structure of this formula in the dataset is 998.4 meV per atom.

It has space group P4/mmm (No. 123), with a = 4.121 Å, b = 4.121 Å, c = 6.605 Å, α = 90.00°, β = 90.00° and γ = 90.00°. The distinct sites, in fractional coordinates, are In at (0.000, 0.000, 0.000), Ir at (0.500, 0.500, 0.500), I at (0.000, 0.000, 0.500) and N at (0.000, 0.500, 0.000).

# 3
Here is a relaxed structure of InIrIN2 from Alexandria. Energies are from GGA-PBE.

The uncorrected energy comes out at -24.72 eV for the cell shown. The excess energy over the best structure of this formula in the dataset is 0.0 meV per atom.

It has space group P4/mmm (No. 123), with a = 3.952 Å, b = 3.952 Å, c = 7.526 Å, α = 90.00°, β = 90.00° and γ = 90.00°. The distinct sites, in fractional coordinates, are In at (0.000, 0.000, 0.000), Ir at (0.500, 0.500, 0.500), I at (0.500, 0.500, 0.000) and N at (0.000, 0.500, 0.500).

# 4
Here is a relaxed structure of InIrIO2 from Alexandria. Energies are from GGA-PBE.

The uncorrected energy comes out at -22.87 eV for the cell shown. The excess energy over the best structure of this formula in the dataset is 0.0 meV per atom.

It has space group P4/mmm (No. 123), with a = 4.066 Å, b = 4.066 Å, c = 5.869 Å, α = 90.00°, β = 90.00° and γ = 90.00°. The distinct sites, in fractional coordinates, are In at (0.000, 0.000, 0.000), Ir at (0.500, 0.500, 0.500), I at (0.500, 0.500, 0.000) and O at (0.000, 0.500, 0.500).

# 5
Here is a relaxed structure of InIrIO2 from Alexandria. Energies are from GGA-PBE.

The uncorrected energy comes out at -21.00 eV for the cell shown. The excess energy over the best structure of this formula in the dataset is 374.8 meV per atom.

It has space group P4/mmm (No. 123), with a = 4.022 Å, b = 4.022 Å, c = 6.600 Å, α = 90.00°, β = 90.00° and γ = 90.00°. The distinct sites, in fractional coordinates, are In at (0.000, 0.000, 0.000), Ir at (0.500, 0.500, 0.500), I at (0.000, 0.000, 0.500) and O at (0.000, 0.500, 0.000).

# 6
Here is a relaxed structure of In2IrPbI from Alexandria. Energies are from GGA-PBE.

The uncorrected energy comes out at -20.87 eV for the cell shown.

It has space group P4/mmm (No. 123), with a = 5.302 Å, b = 5.302 Å, c = 5.289 Å, α = 90.00°, β = 90.00° and γ = 90.00°. The distinct sites, in fractional coordinates, are In at (0.000, 0.500, 0.000), Ir at (0.000, 0.000, 0.000), Pb at (0.000, 0.000, 0.500) and I at (0.500, 0.500, 0.500).

# 7
Here is a relaxed structure of InIrPb2I from Alexandria. Energies are from GGA-PBE.

The uncorrected energy comes out at -21.02 eV for the cell shown.

It has space group P4/mmm (No. 123), with a = 5.417 Å, b = 5.417 Å, c = 5.277 Å, α = 90.00°, β = 90.00° and γ = 90.00°. The distinct sites, in fractional coordinates, are In at (0.000, 0.000, 0.000), Ir at (0.000, 0.000, 0.500), Pb at (0.000, 0.500, 0.500) and I at (0.500, 0.500, 0.000).

# 8
Here is a relaxed structure of Pm6InIr2I3 from Alexandria. Energies are from GGA-PBE.

The uncorrected energy comes out at -127.72 eV for the cell shown.

It has space group C2/m (No. 12), with a = 20.404 Å, b = 4.204 Å, c = 9.544 Å, α = 90.00°, β = 109.10° and γ = 90.00°. The distinct sites, in fractional coordinates, are Pm at (0.028, 0.000, 0.256), Pm at (0.164, 0.500, 0.143), Pm at (0.184, 0.500, 0.557), In at (0.000, 0.500, 0.000), Ir at (0.171, 0.000, 0.346), I at (0.000, 0.500, 0.500) and I at (0.163, 0.000, 0.841).

# 9
Here is a relaxed structure of Pr8InIr3I4 from Alexandria. Energies are from GGA-PBE.

The uncorrected energy comes out at -261.85 eV for the cell shown.

It has space group R-3m (No. 166, hexagonal axes), with a = 8.6666 Å, b = 8.6666 Å, c = 24.4560 Å, α = 90.00°, β = 90.00° and γ = 120.00°. The distinct sites, in fractional coordinates, are Pr at (0.0000, 0.0000, 0.2295), Pr at (0.0248, 0.5124, 0.7699), In at (0.0000, 0.0000, 0.5000), Ir at (0.0000, 0.5000, 0.5000), I at (0.0000, 0.0000, 0.0000) and I at (0.0000, 0.5000, 0.0000).

# 10
Here is a relaxed structure of Pr6InIr2I3 from Alexandria. Energies are from GGA-PBE.

The uncorrected energy comes out at -127.63 eV for the cell shown.

It has space group C2/m (No. 12), with a = 7.537 Å, b = 13.009 Å, c = 8.561 Å, α = 90.00°, β = 107.12° and γ = 90.00°. The distinct sites, in fractional coordinates, are Pr at (0.199, 0.000, 0.193), Pr at (0.250, 0.183, 0.804), In at (0.000, 0.500, 0.000), Ir at (0.000, 0.168, 0.000), I at (0.000, 0.000, 0.500) and I at (0.000, 0.340, 0.500).

# 11
Here is a relaxed structure of In2IrPtI from Alexandria. Energies are from GGA-PBE.

The uncorrected energy comes out at -14.06 eV for the cell shown.

It has space group P4/mmm (No. 123), with a = 6.273 Å, b = 6.273 Å, c = 4.939 Å, α = 90.00°, β = 90.00° and γ = 90.00°. The distinct sites, in fractional coordinates, are In at (0.000, 0.500, 0.000), Ir at (0.000, 0.000, 0.500), Pt at (0.500, 0.500, 0.500) and I at (0.500, 0.500, 0.000).

# 12
Here is a relaxed structure of In2SnIrI from Alexandria. Energies are from GGA-PBE.

The uncorrected energy comes out at -21.47 eV for the cell shown.

It has space group P4/mmm (No. 123), with a = 5.314 Å, b = 5.314 Å, c = 5.114 Å, α = 90.00°, β = 90.00° and γ = 90.00°. The distinct sites, in fractional coordinates, are In at (0.000, 0.500, 0.000), Sn at (0.000, 0.000, 0.500), Ir at (0.000, 0.000, 0.000) and I at (0.500, 0.500, 0.500).

Number 1: E_form (uncorrected) -0.23 eV per atom, total magnetic moment 0.00 μB per atom. Number 2: E_form (uncorrected) 2.01 eV per atom, total magnetic moment 0.88 μB per atom. Number 3: E_form (uncorrected) 1.02 eV per atom, total magnetic moment 0.09 μB per atom. Number 4: E_form (uncorrected) 0.04 eV per atom, total magnetic moment 0.00 μB per atom. Number 5: E_form (uncorrected) 0.41 eV per atom, total magnetic moment 0.27 μB per atom. Number 6: E_form (uncorrected) -0.26 eV per atom, total magnetic moment 0.00 μB per atom. Number 7: E_form (uncorrected) -0.09 eV per atom, total magnetic moment 0.00 μB per atom. Number 8: E_form (uncorrected) -0.85 eV per atom, total magnetic moment 0.00 μB per atom. Number 9: E_form (uncorrected) -0.85 eV per atom, total magnetic moment 0.00 μB per atom. Number 10: E_form (uncorrected) -0.84 eV per atom, total magnetic moment 0.00 μB per atom. Number 11: E_form (uncorrected) 1.57 eV per atom, total magnetic moment 0.40 μB per atom. Number 12: E_form (uncorrected) -0.32 eV per atom, total magnetic moment 0.00 μB per atom.